This record from Alexandria via LeMat-Bulk describes an optimized crystal structure of LiGeMo2N. The functional is PBE.

Values from the calculation:
**E_form (uncorrected)**: -0.1892 eV per atom
**Crystal system**: tetragonal
**Total magnetic moment**: 0.0 Bohr magnetons per cell
**SG**: P4/mmm, No. 123

Lattice parameters (Å, degrees): 4.145 4.145 3.730 90.00 90.00 90.00
Element x y z (fractional)
1 Mo 0.000 0.500 0.000
2 Mo 0.500 0.000 0.000
3 Li 0.000 0.000 0.500
4 Ge 0.500 0.500 0.500
5 N 0.000 0.000 0.000